Entry 1:
VASP calculation (GGA-PBE) on crystalline Ho2InBi at its relaxed geometry.

Cell lengths 4.005, 4.005, 6.905 Å; angles 90.00, 90.00, 90.00 degrees
Atoms (fractional coordinates):
In  0.500  0.500  0.500
Bi  0.500  0.500  0.000
Ho  0.000  0.000  0.751
Ho  0.000  0.000  0.249

Properties
Polymorph energy (0 for the lowest one), eV/f.u.: 0.12
E, Ha/atom: -0.164
E_form, kJ/mol of formula units: -195.6
Spin magnetization, μB/f.u.: 0.00



Entry 2:
VASP calculation (GGA-PBE) on crystalline CaTlOsN2 at its relaxed geometry.

Cell lengths 4.289, 5.565, 4.289 Å; angles 90.00, 90.00, 90.00 degrees
Last column: magnetic moment on the atom in μB.
Atoms (fractional coordinates):
Tl  0.500  0.500  0.500  -0.03
Os  0.000  0.500  0.000  1.56
Ca  0.000  0.000  0.000  -0.03
N  0.000  0.000  0.500  -0.28
N  0.500  0.000  0.000  -0.13

Properties
E, Ha/atom: -0.152
ΔE_f (raw), kJ/mol of formula units: 1112
Spin magnetization, μB/f.u.: 1.08



Entry 3:
VASP calculation (GGA-PBE) on crystalline ErInFe4 at its relaxed geometry.

Cell lengths 5.037, 5.037, 5.037 Å; angles 60.00, 60.00, 60.00 degrees
Last column: magnetic moment on the atom in μB.
Atoms (fractional coordinates):
In  0.000  0.000  0.000  -0.10
Fe  0.625  0.625  0.124  2.10
Fe  0.625  0.124  0.625  2.10
Fe  0.625  0.625  0.625  2.10
Fe  0.124  0.625  0.625  2.10
Er  0.250  0.250  0.250  -0.45

Properties
E, Ha/atom: -0.255
E_form, kJ/mol of formula units: -49.6
Spin magnetization, μB/f.u.: 7.84



Entry 4:
VASP calculation (GGA-PBE) on crystalline Mg5CdS6 at its relaxed geometry.

Cell lengths 6.465, 6.468, 6.470 Å; angles 60.01, 80.32, 70.34 degrees
Atoms (fractional coordinates):
Mg  0.500  0.164  0.671
Mg  0.000  0.333  0.335
Mg  0.500  0.500  0.000
Mg  0.000  0.667  0.665
Mg  0.500  0.836  0.329
S  0.746  0.085  0.342
S  0.254  0.574  0.342
S  0.257  0.257  0.000
S  0.743  0.743  0.000
S  0.746  0.426  0.658
S  0.254  0.915  0.658
Cd  0.000  0.000  0.000

Properties
E, Ha/atom: -0.150
ΔE_f (raw), kJ/mol of formula units: -1466
Spin magnetization, μB/f.u.: 0.00



Entry 5:
VASP calculation (GGA-PBE) on crystalline Ti2MnAgPb at its relaxed geometry.

Cell lengths 4.834, 4.674, 4.834 Å; angles 90.00, 90.00, 90.00 degrees
Atoms (fractional coordinates):
Pb  0.500  0.500  0.500
Mn  0.000  0.500  0.000
Ag  0.000  0.000  0.000
Ti  0.000  0.000  0.500
Ti  0.500  0.000  0.000

Properties
E, Ha/atom: -0.187
E_form, kJ/mol of formula units: 585.8
Spin magnetization, μB/f.u.: 0.01



Entry 6:
VASP calculation (GGA-PBE) on crystalline CdTe2PbN at its relaxed geometry.

Cell lengths 5.832, 5.832, 4.249 Å; angles 90.00, 90.00, 90.00 degrees
Last column: magnetic moment on the atom in μB.
Atoms (fractional coordinates):
Pb  0.500  0.500  0.500  0.00
N  0.000  0.000  0.500  1.13
Te  0.000  0.500  0.000  0.12
Te  0.500  0.000  0.000  0.12
Cd  0.000  0.000  0.000  0.03

Properties
Polymorph energy (0 for the lowest one), eV/f.u.: 0.00
E, Ha/atom: -0.115
ΔE_f (raw), kJ/mol of formula units: 349
Spin magnetization, μB/f.u.: 2.10



> What is the formula in the third record?

ErInFe4